Entry a
! GGA-PBE RbSr2Tl2, optimized geometry; values from VASP
! DOS(E_F) ... 0.7405 states/eV/atom
! V ... 45.049 Å³ per atom
! Crystal system ... tetragonal
&SYSTEM
  ibrav = 0, nat = 5, ntyp = 3
/
ATOMIC_SPECIES
Sr 87.62 Sr.upf
Tl 204.38 Tl.upf
Rb 85.47 Rb.upf
ATOMIC_POSITIONS crystal
Sr 0.7500 0.2500 0.5000
Sr 0.2500 0.7500 0.5000
Tl 0.3779 0.3779 0.2442
Tl 0.6221 0.6221 0.7558
Rb 0.0000 0.0000 0.0000
CELL_PARAMETERS angstrom
-3.2360 5.2552 -0.3688
-5.1384 -3.2441 -1.1391
-5.2945 0.7295 5.0271



Entry b
! GGA-PBE RbSr2Tl2, optimized geometry; values from VASP
! DOS(E_F) ... 0.4869 states/eV/atom
! V ... 39.588 Å³ per atom
! Crystal system ... tetragonal
&SYSTEM
  ibrav = 0, nat = 10, ntyp = 3
/
ATOMIC_SPECIES
Sr 87.62 Sr.upf
Tl 204.38 Tl.upf
Rb 85.47 Rb.upf
ATOMIC_POSITIONS crystal
Sr 0.3613 0.8613 0.0000
Sr 0.8613 0.6387 0.0000
Sr 0.6387 0.1387 0.0000
Sr 0.1387 0.3613 0.0000
Tl 0.1555 0.6555 0.5000
Tl 0.6555 0.8445 0.5000
Tl 0.8445 0.3445 0.5000
Tl 0.3445 0.1555 0.5000
Rb 0.0000 0.0000 0.0000
Rb 0.5000 0.5000 0.0000
CELL_PARAMETERS angstrom
-9.5719 -2.4450 -1.2245
2.7283 -8.8393 -3.6773
-0.0739 -1.5536 3.6796



Which one sits at the top of the stability order? entry b does.



Entry a
! GGA-PBE Rb2SrTl, optimized geometry; values from VASP
! DOS(E_F) ... 1.7157 states/eV/atom
! V ... 62.167 Å³ per atom
! Crystal system ... tetragonal
&SYSTEM
  ibrav = 0, nat = 8, ntyp = 3
/
ATOMIC_SPECIES
Sr 87.62 Sr.upf
Tl 204.38 Tl.upf
Rb 85.47 Rb.upf
ATOMIC_POSITIONS crystal
Sr 0.5000 0.5000 0.0000
Sr 0.2500 0.7500 0.5000
Tl 0.0000 0.0000 0.0000
Tl 0.7500 0.2500 0.5000
Rb 0.7145 0.1250 0.2500
Rb 0.0355 0.6250 0.2500
Rb 0.3750 0.2855 0.7500
Rb 0.8750 0.9645 0.7500
CELL_PARAMETERS angstrom
12.0348 0.0000 0.0000
0.0000 12.0348 0.0000
6.0174 6.0174 3.4338



Entry b
! GGA-PBE Rb2SrTl, optimized geometry; values from VASP
! DOS(E_F) ... 0.6823 states/eV/atom
! V ... 54.405 Å³ per atom
! Crystal system ... cubic
&SYSTEM
  ibrav = 0, nat = 4, ntyp = 3
/
ATOMIC_SPECIES
Sr 87.62 Sr.upf
Tl 204.38 Tl.upf
Rb 85.47 Rb.upf
ATOMIC_POSITIONS crystal
Sr 0.0000 0.0000 0.0000
Tl 0.5000 0.5000 0.5000
Rb 0.2500 0.2500 0.2500
Rb 0.7500 0.7500 0.7500
CELL_PARAMETERS angstrom
6.1889 -1.9577 -1.8571
3.6036 -4.0592 4.0151
1.1138 -6.4102 -1.8036



Which one sits at the top of the stability order? entry a does.



Entry a
! GGA-PBE Rb3SrTl, optimized geometry; values from VASP
! DOS(E_F) ... 0.8360 states/eV/atom
! V ... 73.092 Å³ per atom
! Crystal system ... cubic
&SYSTEM
  ibrav = 0, nat = 5, ntyp = 3
/
ATOMIC_SPECIES
Sr 87.62 Sr.upf
Tl 204.38 Tl.upf
Rb 85.47 Rb.upf
ATOMIC_POSITIONS crystal
Sr 0.5000 0.5000 0.5000
Tl 0.0000 0.0000 0.0000
Rb 0.0000 0.5000 0.0000
Rb 0.0000 0.0000 0.5000
Rb 0.5000 0.0000 0.0000
CELL_PARAMETERS angstrom
-6.2988 -3.1834 -1.1432
-0.9191 -0.7148 7.0541
-3.2552 6.3617 0.2205



Entry b
! GGA-PBE Rb3SrTl, optimized geometry; values from VASP
! DOS(E_F) ... 1.6242 states/eV/atom
! V ... 102.631 Å³ per atom
! Crystal system ... cubic
&SYSTEM
  ibrav = 0, nat = 5, ntyp = 3
/
ATOMIC_SPECIES
Sr 87.62 Sr.upf
Tl 204.38 Tl.upf
Rb 85.47 Rb.upf
ATOMIC_POSITIONS crystal
Sr 0.0000 0.0000 0.0000
Tl 0.5000 0.5000 0.5000
Rb 0.0000 0.5000 0.0000
Rb 0.0000 0.0000 0.5000
Rb 0.5000 0.0000 0.0000
CELL_PARAMETERS angstrom
-0.5229 7.4804 2.8048
0.3680 -2.7853 7.4969
7.9804 0.6186 -0.1619



Which one sits at the top of the stability order? entry a does.



Entry a
! GGA-PBE RbSrV3, optimized geometry; values from VASP
! DOS(E_F) ... 1.9084 states/eV/atom
! V ... 42.259 Å³ per atom
! Crystal system ... cubic
&SYSTEM
  ibrav = 0, nat = 5, ntyp = 3
/
ATOMIC_SPECIES
Sr 87.62 Sr.upf
Rb 85.47 Rb.upf
V 50.94 V.upf
ATOMIC_POSITIONS crystal
Sr 0.0000 0.0000 0.0000
Rb 0.5000 0.5000 0.5000
V 0.0000 0.5000 0.0000
V 0.0000 0.0000 0.5000
V 0.5000 0.0000 0.0000
CELL_PARAMETERS angstrom
5.9561 0.0000 0.0000
0.0000 5.9561 0.0000
0.0000 0.0000 5.9561



Entry b
! GGA-PBE RbSrV3, optimized geometry; values from VASP
! DOS(E_F) ... 2.5451 states/eV/atom
! V ... 25.808 Å³ per atom
! Crystal system ... cubic
&SYSTEM
  ibrav = 0, nat = 5, ntyp = 3
/
ATOMIC_SPECIES
Sr 87.62 Sr.upf
Rb 85.47 Rb.upf
V 50.94 V.upf
ATOMIC_POSITIONS crystal
Sr 0.5000 0.5000 0.5000
Rb 0.0000 0.0000 0.0000
V 0.0000 0.5000 0.0000
V 0.0000 0.0000 0.5000
V 0.5000 0.0000 0.0000
CELL_PARAMETERS angstrom
5.0533 0.0000 0.0000
0.0000 5.0533 0.0000
0.0000 0.0000 5.0533



Which one sits at the top of the stability order? entry a does.



Entry a
! GGA-PBE Rb2SrV2, optimized geometry; values from VASP
! DOS(E_F) ... 1.4627 states/eV/atom
! V ... 43.475 Å³ per atom
! Crystal system ... tetragonal
&SYSTEM
  ibrav = 0, nat = 10, ntyp = 3
/
ATOMIC_SPECIES
Sr 87.62 Sr.upf
Rb 85.47 Rb.upf
V 50.94 V.upf
ATOMIC_POSITIONS crystal
Sr 0.0000 0.0000 0.0000
Sr 0.5000 0.5000 0.0000
Rb 0.2098 0.7098 0.5000
Rb 0.7098 0.7902 0.5000
Rb 0.7902 0.2902 0.5000
Rb 0.2902 0.2098 0.5000
V 0.4389 0.9389 0.0000
V 0.9389 0.5611 0.0000
V 0.5611 0.0611 0.0000
V 0.0611 0.4389 0.0000
CELL_PARAMETERS angstrom
10.4888 0.0000 0.0000
0.0000 10.4888 0.0000
0.0000 0.0000 3.9517



Entry b
! GGA-PBE Rb2SrV2, optimized geometry; values from VASP
! DOS(E_F) ... 1.1074 states/eV/atom
! V ... 41.602 Å³ per atom
! Crystal system ... tetragonal
&SYSTEM
  ibrav = 0, nat = 5, ntyp = 3
/
ATOMIC_SPECIES
Sr 87.62 Sr.upf
Rb 85.47 Rb.upf
V 50.94 V.upf
ATOMIC_POSITIONS crystal
Sr 0.0000 0.0000 0.0000
Rb 0.7500 0.2500 0.5000
Rb 0.2500 0.7500 0.5000
V 0.4430 0.4430 0.1141
V 0.5570 0.5570 0.8859
CELL_PARAMETERS angstrom
5.1230 0.0000 0.0000
0.0000 5.1230 0.0000
2.5615 2.5615 7.9255



Which one sits at the top of the stability order? entry b does.



Entry a
! GGA-PBE RbSrV2, optimized geometry; values from VASP
! DOS(E_F) ... 1.7544 states/eV/atom
! V ... 36.055 Å³ per atom
! Crystal system ... tetragonal
&SYSTEM
  ibrav = 0, nat = 8, ntyp = 3
/
ATOMIC_SPECIES
Sr 87.62 Sr.upf
Rb 85.47 Rb.upf
V 50.94 V.upf
ATOMIC_POSITIONS crystal
Sr 0.0000 0.0000 0.0000
Sr 0.7500 0.2500 0.5000
Rb 0.5000 0.5000 0.0000
Rb 0.2500 0.7500 0.5000
V 0.6316 0.1250 0.2500
V 0.1184 0.6250 0.2500
V 0.3750 0.3684 0.7500
V 0.8750 0.8816 0.7500
CELL_PARAMETERS angstrom
-3.8046 -5.2899 6.7490
8.2947 -0.3974 4.3644
1.4851 -0.1405 7.2471



Entry b
! GGA-PBE RbSrV2, optimized geometry; values from VASP
! DOS(E_F) ... 1.9818 states/eV/atom
! V ... 34.945 Å³ per atom
! Crystal system ... cubic
&SYSTEM
  ibrav = 0, nat = 4, ntyp = 3
/
ATOMIC_SPECIES
Sr 87.62 Sr.upf
Rb 85.47 Rb.upf
V 50.94 V.upf
ATOMIC_POSITIONS crystal
Sr 0.5000 0.5000 0.5000
Rb 0.0000 0.0000 0.0000
V 0.2500 0.2500 0.2500
V 0.7500 0.7500 0.7500
CELL_PARAMETERS angstrom
0.0000 4.1191 4.1191
4.1191 0.0000 4.1191
4.1191 4.1191 0.0000



Which one sits at the top of the stability order? entry b does.



Entry a
! GGA-PBE Rb2SrV, optimized geometry; values from VASP
! DOS(E_F) ... 1.3502 states/eV/atom
! V ... 51.333 Å³ per atom
! Crystal system ... tetragonal
&SYSTEM
  ibrav = 0, nat = 8, ntyp = 3
/
ATOMIC_SPECIES
Sr 87.62 Sr.upf
Rb 85.47 Rb.upf
V 50.94 V.upf
ATOMIC_POSITIONS crystal
Sr 0.0000 0.0000 0.0000
Sr 0.7500 0.2500 0.5000
Rb 0.6055 0.1250 0.2500
Rb 0.1445 0.6250 0.2500
Rb 0.3750 0.3945 0.7500
Rb 0.8750 0.8555 0.7500
V 0.5000 0.5000 0.0000
V 0.2500 0.7500 0.5000
CELL_PARAMETERS angstrom
-3.4098 1.7337 3.6758
-2.8866 -4.4107 -0.5973
4.7209 -7.8958 11.9317



Entry b
! GGA-PBE Rb2SrV, optimized geometry; values from VASP
! DOS(E_F) ... 2.2437 states/eV/atom
! V ... 51.936 Å³ per atom
! Crystal system ... cubic
&SYSTEM
  ibrav = 0, nat = 4, ntyp = 3
/
ATOMIC_SPECIES
Sr 87.62 Sr.upf
Rb 85.47 Rb.upf
V 50.94 V.upf
ATOMIC_POSITIONS crystal
Sr 0.5000 0.5000 0.5000
Rb 0.2500 0.2500 0.2500
Rb 0.7500 0.7500 0.7500
V 0.0000 0.0000 0.0000
CELL_PARAMETERS angstrom
-6.2469 -1.0114 2.0365
-5.0538 0.8343 -4.2376
-3.4000 -5.2729 -2.1978



Which one sits at the top of the stability order? entry a does.